Entry 1:
Entry from Alexandria: a relaxed structure of HfGeAu3 (PBE-GGA).

POSCAR file:
```
HfGeAu3
1.0
5.1883 0.0000 0.0000
0.0000 5.1883 0.0000
0.0000 0.0000 5.1883
Hf Ge Au
1 1 3
Cartesian
0.0000 0.0000 0.0000 Hf
2.5941 2.5941 2.5941 Ge
0.0000 0.0000 2.5941 Au
0.0000 2.5941 0.0000 Au
2.5941 0.0000 0.0000 Au
```

Calculated values
As for the distance to the lowest polymorph of the same formula: 299.0 meV/atom. Its formation energy from the elements is 0.774 eV per atom.



Entry 2:
Entry from Alexandria: a relaxed structure of Cr5Ru3 (PBE-GGA).

POSCAR file:
```
Cr5Ru3
1.0
4.6751 0.0000 0.0000
1.7406 6.4189 0.0000
1.4291 0.3145 6.9349
Cr Ru
10 6
Cartesian
0.0000 0.0000 0.0000 Cr
1.2676 2.3647 2.4149 Cr
2.9902 6.3606 2.4781 Cr
2.5826 1.2447 4.6405 Cr
3.8725 3.2951 5.6497 Cr
3.7152 3.4163 3.0889 Cr
5.3798 5.5561 5.9913 Cr
5.3380 5.4592 3.5833 Cr
4.8243 1.2205 4.6935 Cr
4.6675 2.5109 0.1505 Cr
3.0693 5.3876 4.8203 Ru
2.4577 3.9736 0.8694 Ru
2.2050 1.0735 0.2226 Ru
3.7141 1.1188 2.2324 Ru
4.8287 4.9490 1.3131 Ru
6.1144 3.4490 4.5987 Ru
```

Calculated values
As for the distance to the lowest polymorph of the same formula: 19.6 meV/atom. Its formation energy from the elements is 0.203 eV per atom.



Entry 3:
Entry from Alexandria: a relaxed structure of PrSm2CdHg4 (PBE-GGA).

POSCAR file:
```
PrSm2CdHg4
1.0
2.5975 1.4997 9.1215
-2.5975 1.4997 9.1215
0.0000 -2.9993 9.1215
Pr Sm Cd Hg
1 2 1 4
Cartesian
0.0000 0.0000 0.0000 Pr
0.0000 0.0000 6.5532 Sm
0.0000 0.0000 20.8112 Sm
0.0000 0.0000 13.6822 Cd
0.0000 0.0000 3.3836 Hg
0.0000 0.0000 10.2754 Hg
0.0000 0.0000 17.0890 Hg
0.0000 0.0000 23.9808 Hg
```

Calculated values
Its formation energy from the elements is -0.425 eV per atom.



Entry 4:
Entry from Alexandria: a relaxed structure of EuGdSbAu (PBE-GGA).

POSCAR file:
```
EuGdSbAu
1.0
7.5771 0.0000 0.0000
0.0000 7.5771 0.0000
0.0000 0.0000 7.5771
Eu Gd Sb Au
4 4 4 4
Cartesian
0.0000 0.0000 0.0000 Eu
0.0000 3.7885 3.7885 Eu
3.7885 0.0000 3.7885 Eu
3.7885 3.7885 0.0000 Eu
0.0000 0.0000 3.7885 Gd
0.0000 3.7885 0.0000 Gd
3.7885 0.0000 0.0000 Gd
3.7885 3.7885 3.7885 Gd
1.8943 1.8943 1.8943 Sb
1.8943 5.6828 5.6828 Sb
5.6828 1.8943 5.6828 Sb
5.6828 5.6828 1.8943 Sb
1.8943 1.8943 5.6828 Au
1.8943 5.6828 1.8943 Au
5.6828 1.8943 1.8943 Au
5.6828 5.6828 5.6828 Au
```

Calculated values
The calculation puts the uncorrected formation energy at -3.30 eV/f.u.



no.,total magnetic moment (μB per formula unit)
1,0.000
2,0.070
3,0.000
4,0.124